A geometry-optimized Tm4AsAuS2 structure, computed with PBE.

Results
**E_form (uncorrected)**: -1.51 eV per atom
**Size of the total moment**: 0.00 μB per atom

The structure in CIF format:
```
data_Tm4AsAuS2
_chemical_formula_sum 'Tm4 As1 Au1 S2'
_cell_length_a 6.798
_cell_length_b 3.911
_cell_length_c 7.047
_cell_angle_alpha 90.00
_cell_angle_beta 108.40
_cell_angle_gamma 90.00
_symmetry_space_group_name_H-M 'P 1 2/m 1'
_symmetry_Int_Tables_number 10
loop_
_symmetry_equiv_pos_as_xyz
'x,y,z'
'-x,-y,-z'
'-x,y,-z'
'x,-y,z'
loop_
_atom_site_label
_atom_site_type_symbol
_atom_site_fract_x
_atom_site_fract_y
_atom_site_fract_z
_atom_site_occupancy
Tm1 Tm 0.244 0.000 0.236 1
Tm2 Tm 0.248 0.500 0.758 1
As1 As 0.000 0.000 0.500 1
Au1 Au 0.500 0.500 0.500 1
S1 S 0.000 0.500 0.000 1
S2 S 0.500 0.000 0.000 1
```